The following is a DFT calculation (PBE) of a relaxed structure of Sr4CaTl2.

Results
Excess energy over the best structure of this formula in the dataset   0 meV/atom
Energy relative to the elements   -241 meV per atom
Total magnetic moment   0.00 μB per formula unit

Lattice parameters (Å, degrees): 5.863 5.863 9.999 72.95 72.95 60.00
Sites, in units of the cell vectors:
Tl1 0.259 0.259 0.224
Tl2 0.741 0.741 0.776
Sr1 0.133 0.133 0.601
Sr2 0.867 0.867 0.399
Sr3 0.612 0.612 0.163
Sr4 0.388 0.388 0.837
Ca1 0.000 0.000 0.000



The following is a DFT calculation (PBE) of a relaxed structure of Sr2Ca2Tl3.

Results
Energy relative to the elements   -348 meV per atom
Total magnetic moment   0.00 μB per formula unit

Lattice parameters (Å, degrees): 5.531 5.518 9.948 89.97 106.48 119.62
Sites, in units of the cell vectors:
Ca1 0.255 0.628 0.883
Ca2 0.745 0.372 0.117
Tl1 0.000 0.000 0.000
Tl2 0.506 0.253 0.760
Tl3 0.494 0.747 0.240
Sr1 0.752 0.876 0.628
Sr2 0.248 0.124 0.372



The following is a DFT calculation (PBE) of a relaxed structure of Sr2CaTl5.

Results
Energy relative to the elements   -327 meV per atom
Total magnetic moment   0.00 μB per formula unit

Lattice parameters (Å, degrees): 5.698 5.698 8.772 108.95 108.95 90.00
Sites, in units of the cell vectors:
Sr1 0.258 0.258 0.516
Sr2 0.742 0.742 0.484
Tl1 0.386 0.886 0.772
Tl2 0.114 0.614 0.228
Tl3 0.500 0.500 0.000
Tl4 0.886 0.386 0.772
Tl5 0.614 0.114 0.228
Ca1 0.000 0.000 0.000



The following is a DFT calculation (PBE) of a relaxed structure of SrCaTl.

Results
Energy relative to the elements   -310 meV per atom
Total magnetic moment   0.00 μB per formula unit

Lattice parameters (Å, degrees): 5.048 5.048 8.853 90.07 90.07 89.98
Sites, in units of the cell vectors:
Ca1 0.750 0.250 0.000
Ca2 0.250 0.750 0.000
Tl1 0.751 0.751 0.244
Tl2 0.249 0.249 0.756
Sr1 0.250 0.250 0.363
Sr2 0.750 0.750 0.637



The following is a DFT calculation (PBE) of a relaxed structure of SrCa3Tl7.

Results
Energy relative to the elements   -252 meV per atom
Total magnetic moment   0.00 μB per formula unit

Lattice parameters (Å, degrees): 3.859 13.337 13.566 90.00 90.00 98.32
Sites, in units of the cell vectors:
Tl1 0.508 0.016 0.876
Tl2 0.793 0.587 0.928
Tl3 0.508 0.016 0.624
Tl4 0.604 0.208 0.250
Tl5 0.668 0.335 0.896
Tl6 0.793 0.587 0.572
Tl7 0.332 0.665 0.104
Tl8 0.207 0.413 0.428
Tl9 0.668 0.335 0.604
Tl10 0.396 0.792 0.750
Tl11 0.492 0.984 0.124
Tl12 0.492 0.984 0.376
Tl13 0.207 0.413 0.072
Tl14 0.332 0.665 0.396
Ca1 0.248 0.497 0.750
Ca2 0.083 0.166 0.462
Ca3 0.917 0.834 0.962
Ca4 0.917 0.834 0.538
Ca5 0.752 0.503 0.250
Ca6 0.083 0.166 0.038
Sr1 0.092 0.183 0.750
Sr2 0.908 0.817 0.250



The following is a DFT calculation (PBE) of a relaxed structure of SrCaTl2.

Results
Energy relative to the elements   -274 meV per atom
Total magnetic moment   0.00 μB per formula unit

Lattice parameters (Å, degrees): 10.559 10.559 10.559 21.40 21.40 21.40
Sites, in units of the cell vectors:
Sr1 0.750 0.750 0.750
Tl1 0.997 0.997 0.997
Tl2 0.503 0.503 0.503
Ca1 0.250 0.250 0.250



The following is a DFT calculation (PBE) of a relaxed structure of Sr4CaTl.

Results
Excess energy over the best structure of this formula in the dataset   370 meV/atom
Energy relative to the elements   235 meV per atom
Total magnetic moment   0.00 μB per formula unit

Lattice parameters (Å, degrees): 7.523 7.523 7.523 60.00 60.00 60.00
Sites, in units of the cell vectors:
Ca1 0.000 0.000 0.000
Sr1 0.875 0.375 0.375
Sr2 0.375 0.375 0.375
Sr3 0.375 0.875 0.375
Sr4 0.375 0.375 0.875
Tl1 0.750 0.750 0.750



The following is a DFT calculation (PBE) of a relaxed structure of SrCaTl.

Results
Energy relative to the elements   -205 meV per atom
Total magnetic moment   0.97 μB per formula unit

Lattice parameters (Å, degrees): 5.579 5.579 5.579 60.00 60.00 60.00
Each line ends with the local moment (μB).
Sites, in units of the cell vectors:
Ca1 0.000 0.000 0.000  0.06
Sr1 0.500 0.500 0.500  0.06
Tl1 0.750 0.750 0.750  0.18



The following is a DFT calculation (PBE) of a relaxed structure of SrCaTl2.

Results
Energy relative to the elements   -150 meV per atom
Total magnetic moment   0.00 μB per formula unit

Lattice parameters (Å, degrees): 5.725 5.725 5.725 60.00 60.00 60.00
Sites, in units of the cell vectors:
Tl1 0.000 0.000 0.000
Tl2 0.250 0.250 0.250
Ca1 0.500 0.500 0.500
Sr1 0.750 0.750 0.750



The following is a DFT calculation (PBE) of a relaxed structure of Sr2CaTl3.

Results
Energy relative to the elements   -430 meV per atom
Total magnetic moment   0.00 μB per formula unit

Lattice parameters (Å, degrees): 4.047 4.047 12.003 90.00 90.00 90.00
Sites, in units of the cell vectors:
Tl1 0.000 0.000 0.000
Tl2 0.000 0.000 0.651
Tl3 0.000 0.000 0.349
Sr1 0.500 0.500 0.173
Sr2 0.500 0.500 0.827
Ca1 0.500 0.500 0.500



The following is a DFT calculation (PBE) of a relaxed structure of Sr4CaTl2.

Results
Excess energy over the best structure of this formula in the dataset   92 meV/atom
Energy relative to the elements   -150 meV per atom
Total magnetic moment   0.00 μB per formula unit

Lattice parameters (Å, degrees): 5.867 5.867 11.184 74.80 74.80 60.00
Sites, in units of the cell vectors:
Ca1 0.500 0.500 0.500
Sr1 0.898 0.898 0.305
Sr2 0.102 0.102 0.695
Sr3 0.295 0.295 0.114
Sr4 0.705 0.705 0.886
Tl1 0.597 0.597 0.209
Tl2 0.403 0.403 0.791



The following is a DFT calculation (PBE) of a relaxed structure of Sr6Ca3Tl.

Results
Energy relative to the elements   -58 meV per atom
Total magnetic moment   0.00 μB per formula unit

Lattice parameters (Å, degrees): 5.807 12.405 12.948 95.82 90.00 90.00
Sites, in units of the cell vectors:
Ca1 0.750 0.665 0.215
Ca2 0.250 0.335 0.785
Ca3 0.750 0.241 0.973
Ca4 0.750 0.440 0.598
Ca5 0.250 0.759 0.027
Ca6 0.250 0.560 0.402
Sr1 0.250 0.231 0.480
Sr2 0.750 0.545 0.906
Sr3 0.250 0.455 0.094
Sr4 0.750 0.957 0.121
Sr5 0.250 0.157 0.183
Sr6 0.750 0.769 0.520
Sr7 0.250 0.043 0.879
Sr8 0.750 0.092 0.642
Sr9 0.250 0.908 0.358
Sr10 0.250 0.644 0.706
Sr11 0.750 0.356 0.294
Sr12 0.750 0.843 0.817
Tl1 0.250 0.904 0.639
Tl2 0.750 0.096 0.361